10
Lattice="-0.392 2.397 3.643 -0.247 -3.664 2.384 11.795 0.022 1.255" Properties=species:S:1:pos:R:3 comment="GdIn2PtAu, optimized geometry, DFT PBE" vol_a3_per_cell=227.38 energy_ev_per_cell=-44.70 pbc="T T T"
Pt 7.433 -1.818 1.996
Pt 4.042 1.206 2.272
In 5.898 0.011 0.628
In 1.466 1.202 1.998
In 5.578 -0.622 3.641
In 10.009 -1.813 2.271
Gd 3.015 -1.826 1.526
Gd 8.461 1.215 2.743
Au -0.320 -0.633 3.014
Au 0.000 0.000 0.000

***

9
Lattice="3.753 0.000 0.000 0.000 6.680 3.827 0.000 -6.680 3.827" Properties=species:S:1:pos:R:3 comment="GdSc2In3PtAu2, optimized geometry, DFT PBE" vol_a3_per_cell=191.87 energy_ev_per_cell=-44.97 pbc="T T T"
Au 1.876 -2.286 3.839
Au 1.876 2.286 3.839
In 1.876 4.903 4.814
In 1.876 0.000 5.646
In 1.876 -4.903 4.814
Sc 0.000 -4.038 2.319
Sc 0.000 4.038 2.319
Pt 0.000 0.000 7.623
Gd 0.000 0.000 3.058

***

9
Lattice="3.915 0.000 0.000 0.000 6.649 3.855 0.000 -6.649 3.855" Properties=species:S:1:pos:R:3 comment="Gd2ScIn3PtAu2, optimized geometry, DFT PBE" vol_a3_per_cell=200.72 energy_ev_per_cell=-43.59 pbc="T T T"
In 1.957 -1.690 1.021
In 1.957 1.690 1.021
In 1.957 0.000 5.712
Sc 0.000 0.000 3.062
Gd 0.000 2.669 6.160
Gd 0.000 -2.669 6.160
Au 1.957 -2.155 3.839
Au 1.957 2.155 3.839
Pt 0.000 0.000 0.032

***

9
Lattice="-0.409 0.043 3.941 6.190 -4.607 0.693 0.879 7.697 0.007" Properties=species:S:1:pos:R:3 comment="Tb2GdIn3PtAu2, optimized geometry, DFT PBE" vol_a3_per_cell=205.95 energy_ev_per_cell=-42.25 pbc="T T T"
Tb 0.352 3.087 0.003
Tb 2.482 -1.848 0.278
Au 2.444 3.618 2.206
Au 4.215 -0.485 2.435
In 0.449 5.745 1.975
In 1.608 0.814 2.150
In 4.398 -3.404 2.486
Gd 4.233 1.851 0.419
Pt 0.001 0.000 0.000

***

9
Lattice="3.835 0.000 0.000 0.000 6.758 3.898 0.000 -6.758 3.898" Properties=species:S:1:pos:R:3 comment="Tb2GdIn3Pt2Au, optimized geometry, DFT PBE" vol_a3_per_cell=202.05 energy_ev_per_cell=-45.73 pbc="T T T"
Gd 0.000 0.000 4.616
In 1.917 -4.943 2.854
In 1.917 0.000 2.091
In 1.917 4.943 2.854
Tb 0.000 2.757 1.591
Tb 0.000 -2.757 1.591
Au 0.000 0.000 0.002
Pt 1.917 2.259 3.897
Pt 1.917 -2.259 3.897

***

9
Lattice="3.966 0.000 0.000 0.000 6.680 3.866 0.000 -6.680 3.866" Properties=species:S:1:pos:R:3 comment="Gd2TmIn3PtAu2, optimized geometry, DFT PBE" vol_a3_per_cell=204.85 energy_ev_per_cell=-42.08 pbc="T T T"
Tm 0.000 0.000 4.640
In 1.983 0.000 1.976
In 1.983 1.709 6.737
In 1.983 -1.709 6.737
Gd 0.000 -2.685 1.556
Gd 0.000 2.685 1.556
Au 1.983 -2.191 3.875
Au 1.983 2.191 3.875
Pt 0.000 0.000 7.707